Version one
AlBr2 | PBEsol | optimized geometry Values from VASP.

Cell and atoms, written as Quantum ESPRESSO input:
```
&SYSTEM
  ibrav = 0, nat = 6, ntyp = 2
/
ATOMIC_SPECIES
Al 26.98 Al.upf
Br 79.90 Br.upf
ATOMIC_POSITIONS crystal
Al 0.0038 0.0038 0.1530
Al 0.9962 0.9962 0.8470
Br 0.3622 0.3622 0.6927
Br 0.3756 0.3756 0.1852
Br 0.6244 0.6244 0.8148
Br 0.6378 0.6378 0.3073
CELL_PARAMETERS angstrom
6.7446 -1.7212 0.0000
6.7446 1.7212 0.0000
-2.8035 0.0000 7.9690
```

Calculated values
The value obtained for the calculated density is 3.4 g/cm³. As for the symmetry: C2/m, No. 12. As for the calculated volume: 30.8 Å³/atom.

Version two
AlBr2 | PBEsol | optimized geometry Values from VASP.

Cell and atoms, written as Quantum ESPRESSO input:
```
&SYSTEM
  ibrav = 0, nat = 6, ntyp = 2
/
ATOMIC_SPECIES
Al 26.98 Al.upf
Br 79.90 Br.upf
ATOMIC_POSITIONS crystal
Al 0.3333 0.6667 0.2500
Al 0.6667 0.3333 0.7500
Br 0.0000 0.0000 0.0000
Br 0.0000 0.0000 0.5000
Br 0.3333 0.6667 0.7500
Br 0.6667 0.3333 0.2500
CELL_PARAMETERS angstrom
4.5293 0.0000 0.0000
-2.2647 3.9225 0.0000
0.0000 0.0000 8.6606
```

Calculated values
The value obtained for the calculated density is 4.0 g/cm³. As for the symmetry: P6_3/mmc, No. 194. As for the calculated volume: 25.6 Å³/atom.

Ranked by calculated energy, most stable first: version one, version two.

Version one
Ca2AlBr | PBEsol | optimized geometry Values from VASP.

Cell and atoms, written as Quantum ESPRESSO input:
```
&SYSTEM
  ibrav = 0, nat = 4, ntyp = 3
/
ATOMIC_SPECIES
Ca 40.08 Ca.upf
Al 26.98 Al.upf
Br 79.90 Br.upf
ATOMIC_POSITIONS crystal
Ca 0.0000 0.0000 0.0000
Ca 0.7500 0.2500 0.5000
Al 0.5000 0.5000 0.0000
Br 0.2500 0.7500 0.5000
CELL_PARAMETERS angstrom
-2.1631 2.1631 6.0443
2.1631 -2.1631 6.0443
2.1631 2.1631 -6.0443
```

Calculated values
The value obtained for the calculated density is 2.7 g/cm³. As for the symmetry: I-4m2, No. 119. As for the calculated volume: 28.3 Å³/atom.

Version two
Ca2AlBr | PBEsol | optimized geometry Values from VASP.

Cell and atoms, written as Quantum ESPRESSO input:
```
&SYSTEM
  ibrav = 0, nat = 8, ntyp = 3
/
ATOMIC_SPECIES
Ca 40.08 Ca.upf
Al 26.98 Al.upf
Br 79.90 Br.upf
ATOMIC_POSITIONS crystal
Ca 0.1086 0.6250 0.9836
Ca 0.3750 0.3586 0.4836
Ca 0.6414 0.1250 0.0164
Ca 0.8750 0.8914 0.5164
Al 0.2500 0.7500 0.5000
Al 0.5000 0.5000 0.0000
Br 0.0000 0.0000 0.0000
Br 0.7500 0.2500 0.5000
CELL_PARAMETERS angstrom
-3.9708 3.9708 3.8930
3.9708 -3.9708 3.8930
3.9708 3.9708 -3.8930
```

Calculated values
The value obtained for the calculated density is 2.5 g/cm³. As for the symmetry: I-42d, No. 122. As for the calculated volume: 30.7 Å³/atom.

Ranked by calculated energy, most stable first: version one, version two.

Version one
AlCdBr | PBEsol | optimized geometry Values from VASP.

Cell and atoms, written as Quantum ESPRESSO input:
```
&SYSTEM
  ibrav = 0, nat = 3, ntyp = 3
/
ATOMIC_SPECIES
Al 26.98 Al.upf
Cd 112.41 Cd.upf
Br 79.90 Br.upf
ATOMIC_POSITIONS crystal
Al 0.0000 0.0000 0.0000
Cd 0.6387 0.6387 0.0000
Br 0.3386 0.3386 0.0000
CELL_PARAMETERS angstrom
-1.7258 1.7258 5.6363
1.7258 -1.7258 5.6363
1.7258 1.7258 -5.6363
```

Calculated values
The value obtained for the calculated density is 5.4 g/cm³. As for the symmetry: I4mm, No. 107. As for the calculated volume: 22.4 Å³/atom.

Version two
AlCdBr | PBEsol | optimized geometry Values from VASP.

Cell and atoms, written as Quantum ESPRESSO input:
```
&SYSTEM
  ibrav = 0, nat = 3, ntyp = 3
/
ATOMIC_SPECIES
Al 26.98 Al.upf
Cd 112.41 Cd.upf
Br 79.90 Br.upf
ATOMIC_POSITIONS crystal
Al 0.0000 0.0000 0.0000
Cd 0.5000 0.5000 0.5000
Br 0.7500 0.7500 0.7500
CELL_PARAMETERS angstrom
0.0000 3.6557 3.6557
3.6557 0.0000 3.6557
3.6557 3.6557 0.0000
```

Calculated values
The value obtained for the calculated density is 3.7 g/cm³. As for the symmetry: F-43m, No. 216. As for the calculated volume: 32.6 Å³/atom.

Ranked by calculated energy, most stable first: version one, version two.

Version one
Al2CuBr | PBEsol | optimized geometry Values from VASP.

Cell and atoms, written as Quantum ESPRESSO input:
```
&SYSTEM
  ibrav = 0, nat = 4, ntyp = 3
/
ATOMIC_SPECIES
Al 26.98 Al.upf
Cu 63.55 Cu.upf
Br 79.90 Br.upf
ATOMIC_POSITIONS crystal
Al 0.0000 0.0000 0.0000
Al 0.2500 0.2500 0.2500
Cu 0.7500 0.7500 0.7500
Br 0.5000 0.5000 0.5000
CELL_PARAMETERS angstrom
0.0000 3.3406 3.3406
3.3406 0.0000 3.3406
3.3406 3.3406 0.0000
```

Calculated values
The value obtained for the calculated density is 4.4 g/cm³. As for the symmetry: F-43m, No. 216. As for the calculated volume: 18.6 Å³/atom.

Version two
Al2CuBr | PBEsol | optimized geometry Values from VASP.

Cell and atoms, written as Quantum ESPRESSO input:
```
&SYSTEM
  ibrav = 0, nat = 4, ntyp = 3
/
ATOMIC_SPECIES
Al 26.98 Al.upf
Cu 63.55 Cu.upf
Br 79.90 Br.upf
ATOMIC_POSITIONS crystal
Al 0.2500 0.2500 0.2500
Al 0.7500 0.7500 0.7500
Cu 0.0000 0.0000 0.0000
Br 0.5000 0.5000 0.5000
CELL_PARAMETERS angstrom
0.0000 3.3568 3.3568
3.3568 0.0000 3.3568
3.3568 3.3568 0.0000
```

Calculated values
The value obtained for the calculated density is 4.3 g/cm³. As for the symmetry: Fm-3m, No. 225. As for the calculated volume: 18.9 Å³/atom.

Version three
Al2CuBr | PBEsol | optimized geometry Values from VASP.

Cell and atoms, written as Quantum ESPRESSO input:
```
&SYSTEM
  ibrav = 0, nat = 4, ntyp = 3
/
ATOMIC_SPECIES
Al 26.98 Al.upf
Cu 63.55 Cu.upf
Br 79.90 Br.upf
ATOMIC_POSITIONS crystal
Al 0.0000 0.5000 0.0000
Al 0.5000 0.0000 0.0000
Cu 0.0000 0.0000 0.5000
Br 0.5000 0.5000 0.5000
CELL_PARAMETERS angstrom
4.8886 0.0000 0.0000
0.0000 4.8886 0.0000
0.0000 0.0000 2.9736
```

Calculated values
The value obtained for the calculated density is 4.6 g/cm³. As for the symmetry: P4/mmm, No. 123. As for the calculated volume: 17.8 Å³/atom.

Ranked by calculated energy, most stable first: version three, version two, version one.

Version one
AlBrF2 | PBEsol | optimized geometry Values from VASP.

Cell and atoms, written as Quantum ESPRESSO input:
```
&SYSTEM
  ibrav = 0, nat = 8, ntyp = 3
/
ATOMIC_SPECIES
Al 26.98 Al.upf
Br 79.90 Br.upf
F 19.00 F.upf
ATOMIC_POSITIONS crystal
Al 0.1250 0.1250 0.1250
Al 0.8750 0.8750 0.8750
Br 0.3750 0.3750 0.3750
Br 0.6250 0.6250 0.6250
F 0.0000 0.0000 0.0000
F 0.0000 0.0000 0.5000
F 0.0000 0.5000 0.0000
F 0.5000 0.0000 0.0000
CELL_PARAMETERS angstrom
0.0000 3.9894 3.9894
3.9894 0.0000 3.9894
3.9894 3.9894 0.0000
```

Calculated values
The value obtained for the calculated density is 3.8 g/cm³. As for the symmetry: Fd-3m, No. 227. As for the calculated volume: 15.9 Å³/atom.

Version two
AlBrF2 | PBEsol | optimized geometry Values from VASP.

Cell and atoms, written as Quantum ESPRESSO input:
```
&SYSTEM
  ibrav = 0, nat = 4, ntyp = 3
/
ATOMIC_SPECIES
Al 26.98 Al.upf
Br 79.90 Br.upf
F 19.00 F.upf
ATOMIC_POSITIONS crystal
Al 0.0000 0.0000 0.0000
Br 0.5000 0.5000 0.5000
F 0.3678 0.3678 0.3678
F 0.6322 0.6322 0.6322
CELL_PARAMETERS angstrom
1.6052 0.9267 7.8797
-1.6052 0.9267 7.8797
0.0000 -1.8535 7.8797
```

Calculated values
The value obtained for the calculated density is 3.4 g/cm³. As for the symmetry: R-3m, No. 166. As for the calculated volume: 17.6 Å³/atom.

Ranked by calculated energy, most stable first: version one, version two.

Version one
AlFeBr | PBEsol | optimized geometry Values from VASP.

Cell and atoms, written as Quantum ESPRESSO input:
```
&SYSTEM
  ibrav = 0, nat = 3, ntyp = 3
/
ATOMIC_SPECIES
Al 26.98 Al.upf
Fe 55.84 Fe.upf
Br 79.90 Br.upf
ATOMIC_POSITIONS crystal
Al 0.0000 0.0000 0.0000
Fe 0.3333 0.6667 0.5000
Br 0.6667 0.3333 0.5000
CELL_PARAMETERS angstrom
4.2638 0.0000 0.0000
-2.1319 3.6926 0.0000
0.0000 0.0000 3.0397
```

Calculated values
The value obtained for the calculated density is 5.6 g/cm³. As for the symmetry: P-6m2, No. 187. As for the calculated volume: 16.0 Å³/atom.

Version two
AlFeBr | PBEsol | optimized geometry Values from VASP.

Cell and atoms, written as Quantum ESPRESSO input:
```
&SYSTEM
  ibrav = 0, nat = 3, ntyp = 3
/
ATOMIC_SPECIES
Al 26.98 Al.upf
Fe 55.84 Fe.upf
Br 79.90 Br.upf
ATOMIC_POSITIONS crystal
Al 0.0000 0.0000 0.0000
Fe 0.7500 0.7500 0.7500
Br 0.2500 0.2500 0.2500
CELL_PARAMETERS angstrom
0.0000 3.0985 3.0985
3.0985 0.0000 3.0985
3.0985 3.0985 0.0000
```

Calculated values
The value obtained for the calculated density is 4.5 g/cm³. As for the symmetry: F-43m, No. 216. As for the calculated volume: 19.8 Å³/atom.

Ranked by calculated energy, most stable first: version one, version two.